Record 1
# Rb2TaZnS4 PBE-GGA relaxed
# Calculated volume: 31.70 A^3/atom
# Energy: -4.925 eV per atom
# Formation energy (no corrections): -0.98 eV/atom
data_Rb2TaZnS4
_chemical_formula_sum 'Rb16 Ta8 Zn8 S32'
_space_group_name_H-M_alt 'F d d d'
_space_group_IT_number 70
_cell_length_a 6.2354
_cell_length_b 13.7383
_cell_length_c 23.6860
_cell_angle_alpha 90.00
_cell_angle_beta 90.00
_cell_angle_gamma 90.00
loop_
_space_group_symop_operation_xyz
'x,y,z'
'-x,-y,-z'
'-x+1/4,-y+1/4,z'
'x+1/4,y+1/4,-z'
'x,-y+1/4,-z+1/4'
'-x,y+1/4,z+1/4'
'-x+1/4,y,-z+1/4'
'x+1/4,-y,z+1/4'
'x,y+1/2,z+1/2'
'-x,-y+1/2,-z+1/2'
'-x+1/4,-y+3/4,z+1/2'
'x+1/4,y+3/4,-z+1/2'
'x,-y+3/4,-z+3/4'
'-x,y+3/4,z+3/4'
'-x+1/4,y+1/2,-z+3/4'
'x+1/4,-y+1/2,z+3/4'
'x+1/2,y,z+1/2'
'-x+1/2,-y,-z+1/2'
'-x+3/4,-y+1/4,z+1/2'
'x+3/4,y+1/4,-z+1/2'
'x+1/2,-y+1/4,-z+3/4'
'-x+1/2,y+1/4,z+3/4'
'-x+3/4,y,-z+3/4'
'x+3/4,-y,z+3/4'
'x+1/2,y+1/2,z'
'-x+1/2,-y+1/2,-z'
'-x+3/4,-y+3/4,z'
'x+3/4,y+3/4,-z'
'x+1/2,-y+3/4,-z+1/4'
'-x+1/2,y+3/4,z+1/4'
'-x+3/4,y+1/2,-z+1/4'
'x+3/4,-y+1/2,z+1/4'
loop_
_atom_site_label
_atom_site_type_symbol
_atom_site_fract_x
_atom_site_fract_y
_atom_site_fract_z
Rb1 Rb 0.1250 0.1250 0.3021
Ta1 Ta 0.1250 0.1250 0.6250
Zn1 Zn 0.1250 0.1250 0.1250
S1 S 0.1176 0.2824 0.8234



Record 2
# BaSnH2Pt PBE-GGA relaxed
# Calculated volume: 20.48 A^3/atom
# Energy: -4.001 eV per atom
data_BaSnH2Pt
_chemical_formula_sum 'Ba1 Sn1 H2 Pt1'
_space_group_name_H-M_alt 'P 4/m m m'
_space_group_IT_number 123
_space_group_name_Hall '-P 4 2'
_cell_length_a 4.4136
_cell_length_b 4.4136
_cell_length_c 5.2576
_cell_angle_alpha 90.00
_cell_angle_beta 90.00
_cell_angle_gamma 90.00
loop_
_atom_site_label
_atom_site_type_symbol
_atom_site_fract_x
_atom_site_fract_y
_atom_site_fract_z
Ba1 Ba 0.0000 0.0000 0.0000
Sn1 Sn 0.5000 0.5000 0.5000
H1 H 0.0000 0.5000 0.5000
Pt1 Pt 0.5000 0.5000 0.0000



Record 3
# Pm2Er2Ge3 PBE-GGA relaxed
# Calculated volume: 31.28 A^3/atom
# Energy: -5.240 eV per atom
data_Pm2Er2Ge3
_chemical_formula_sum 'Pm4 Er4 Ge6'
_space_group_name_H-M_alt 'C 1 2/m 1'
_space_group_IT_number 12
_cell_length_a 14.2314
_cell_length_b 4.2518
_cell_length_c 7.5793
_cell_angle_alpha 90.00
_cell_angle_beta 107.27
_cell_angle_gamma 90.00
loop_
_space_group_symop_operation_xyz
'x,y,z'
'-x,-y,-z'
'-x,y,-z'
'x,-y,z'
'x+1/2,y+1/2,z'
'-x+1/2,-y+1/2,-z'
'-x+1/2,y+1/2,-z'
'x+1/2,-y+1/2,z'
loop_
_atom_site_label
_atom_site_type_symbol
_atom_site_fract_x
_atom_site_fract_y
_atom_site_fract_z
Pm1 Pm 0.1226 0.0000 0.3896
Er1 Er 0.1591 0.5000 0.8377
Ge1 Ge 0.0000 0.5000 0.5000
Ge2 Ge 0.2225 0.5000 0.2335



Record 4
# KTa2Ag PBE-GGA relaxed
# Calculated volume: 21.33 A^3/atom
# Energy: -6.051 eV per atom
data_KTa2Ag
_chemical_formula_sum 'K2 Ta4 Ag2'
_space_group_name_H-M_alt 'C m m m'
_space_group_IT_number 65
_space_group_name_Hall '-C 2 2'
_cell_length_a 3.1726
_cell_length_b 4.6347
_cell_length_c 11.6075
_cell_angle_alpha 90.00
_cell_angle_beta 90.00
_cell_angle_gamma 90.00
loop_
_atom_site_label
_atom_site_type_symbol
_atom_site_fract_x
_atom_site_fract_y
_atom_site_fract_z
K1 K 0.0000 0.0000 0.0000
Ta1 Ta 0.0000 0.5000 0.2856
Ag1 Ag 0.0000 0.0000 0.5000



Record 5
# CeH2F PBE-GGA relaxed
# Calculated volume: 12.10 A^3/atom
# Energy: -4.796 eV per atom
data_CeH2F
_chemical_formula_sum 'Ce1 H2 F1'
_space_group_name_H-M_alt 'P 4/m m m'
_space_group_IT_number 123
_space_group_name_Hall '-P 4 2'
_cell_length_a 3.2439
_cell_length_b 3.2439
_cell_length_c 4.5977
_cell_angle_alpha 90.00
_cell_angle_beta 90.00
_cell_angle_gamma 90.00
loop_
_atom_site_label
_atom_site_type_symbol
_atom_site_fract_x
_atom_site_fract_y
_atom_site_fract_z
Ce1 Ce 0.0000 0.0000 0.0000
H1 H 0.5000 0.5000 0.2001
F1 F 0.0000 0.0000 0.5000



Record 6
# Ac4AlCdHg2 PBE-GGA relaxed
# Calculated volume: 32.87 A^3/atom
# Energy: -3.063 eV per atom
data_Ac4AlCdHg2
_chemical_formula_sum 'Ac12 Al3 Cd3 Hg6'
_space_group_name_H-M_alt 'R -3 m'
_space_group_IT_number 166
_space_group_name_Hall '-R 3 2"'
_cell_length_a 5.7003
_cell_length_b 5.7003
_cell_length_c 28.0323
_cell_angle_alpha 90.00
_cell_angle_beta 90.00
_cell_angle_gamma 120.00
loop_
_atom_site_label
_atom_site_type_symbol
_atom_site_fract_x
_atom_site_fract_y
_atom_site_fract_z
Ac1 Ac 0.0000 0.0000 0.1224
Ac2 Ac 0.0000 0.0000 0.3724
Al1 Al 0.0000 0.0000 0.0000
Cd1 Cd 0.0000 0.0000 0.5000
Hg1 Hg 0.0000 0.0000 0.2477



Record 7
# CoPWCl2 PBE-GGA relaxed
# Calculated volume: 19.56 A^3/atom
# Energy: -4.809 eV per atom
# Formation energy (no corrections): 1.02 eV/atom
data_CoPWCl2
_chemical_formula_sum 'Co1 P1 W1 Cl2'
_space_group_name_H-M_alt 'P 4/m m m'
_space_group_IT_number 123
_space_group_name_Hall '-P 4 2'
_cell_length_a 4.1278
_cell_length_b 4.1278
_cell_length_c 5.7386
_cell_angle_alpha 90.00
_cell_angle_beta 90.00
_cell_angle_gamma 90.00
loop_
_atom_site_label
_atom_site_type_symbol
_atom_site_fract_x
_atom_site_fract_y
_atom_site_fract_z
Co1 Co 0.0000 0.0000 0.0000
P1 P 0.5000 0.5000 0.5000
W1 W 0.0000 0.0000 0.5000
Cl1 Cl 0.0000 0.5000 0.0000



Record 8
# La3Ni2Sn7 PBE-GGA relaxed
# Calculated volume: 25.14 A^3/atom
# Energy: -5.168 eV per atom
data_La3Ni2Sn7
_chemical_formula_sum 'La3 Ni2 Sn7'
_space_group_name_H-M_alt 'P 1 2/m 1'
_space_group_IT_number 10
_cell_length_a 4.6547
_cell_length_b 4.6473
_cell_length_c 14.1401
_cell_angle_alpha 90.00
_cell_angle_beta 99.47
_cell_angle_gamma 90.00
loop_
_space_group_symop_operation_xyz
'x,y,z'
'-x,-y,-z'
'-x,y,-z'
'x,-y,z'
loop_
_atom_site_label
_atom_site_type_symbol
_atom_site_fract_x
_atom_site_fract_y
_atom_site_fract_z
La1 La 0.0000 0.0000 0.0000
La2 La 0.3154 0.5000 0.6307
Ni1 Ni 0.1276 0.0000 0.2563
Sn1 Sn 0.0899 0.5000 0.1790
Sn2 Sn 0.2182 0.0000 0.4370
Sn3 Sn 0.4107 0.0000 0.8206
Sn4 Sn 0.5000 0.5000 0.0000



Record 9
# ZnReRh3 PBE-GGA relaxed
# Calculated volume: 20.74 A^3/atom
# Energy: -5.998 eV per atom
data_ZnReRh3
_chemical_formula_sum 'Zn1 Re1 Rh3'
_space_group_name_H-M_alt 'P m -3 m'
_space_group_IT_number 221
_space_group_name_Hall '-P 4 2 3'
_cell_length_a 4.6979
_cell_length_b 4.6979
_cell_length_c 4.6979
_cell_angle_alpha 90.00
_cell_angle_beta 90.00
_cell_angle_gamma 90.00
loop_
_atom_site_label
_atom_site_type_symbol
_atom_site_fract_x
_atom_site_fract_y
_atom_site_fract_z
Zn1 Zn 0.0000 0.0000 0.0000
Re1 Re 0.5000 0.5000 0.5000
Rh1 Rh 0.0000 0.5000 0.5000



Record 10
# BeTlHg3 PBE-GGA relaxed
# Calculated volume: 41.85 A^3/atom
# Energy: -0.592 eV per atom
data_BeTlHg3
_chemical_formula_sum 'Be1 Tl1 Hg3'
_space_group_name_H-M_alt 'P m -3 m'
_space_group_IT_number 221
_space_group_name_Hall '-P 4 2 3'
_cell_length_a 5.9369
_cell_length_b 5.9369
_cell_length_c 5.9369
_cell_angle_alpha 90.00
_cell_angle_beta 90.00
_cell_angle_gamma 90.00
loop_
_atom_site_label
_atom_site_type_symbol
_atom_site_fract_x
_atom_site_fract_y
_atom_site_fract_z
Be1 Be 0.0000 0.0000 0.0000
Tl1 Tl 0.5000 0.5000 0.5000
Hg1 Hg 0.0000 0.5000 0.5000



Record 11
# AlTlRe PBE-GGA relaxed
# Calculated volume: 19.07 A^3/atom
# Energy: -5.577 eV per atom
data_AlTlRe
_chemical_formula_sum 'Al2 Tl2 Re2'
_space_group_name_H-M_alt 'I 4 m m'
_space_group_IT_number 107
_space_group_name_Hall 'I 4 -2'
_cell_length_a 2.9566
_cell_length_b 2.9566
_cell_length_c 13.0866
_cell_angle_alpha 90.00
_cell_angle_beta 90.00
_cell_angle_gamma 90.00
loop_
_atom_site_label
_atom_site_type_symbol
_atom_site_fract_x
_atom_site_fract_y
_atom_site_fract_z
Al1 Al 0.0000 0.0000 0.0000
Tl1 Tl 0.0000 0.0000 0.7071
Re1 Re 0.0000 0.0000 0.3811



Record 12
# KPa3Tl4O12 PBE-GGA relaxed
# Calculated volume: 18.45 A^3/atom
# Energy: -6.973 eV per atom
# Formation energy (no corrections): -2.05 eV/atom
data_KPa3Tl4O12
_chemical_formula_sum 'K2 Pa6 Tl8 O24'
_space_group_name_H-M_alt 'I m -3 m'
_space_group_IT_number 229
_space_group_name_Hall '-I 4 2 3'
_cell_length_a 9.0362
_cell_length_b 9.0362
_cell_length_c 9.0362
_cell_angle_alpha 90.00
_cell_angle_beta 90.00
_cell_angle_gamma 90.00
loop_
_atom_site_label
_atom_site_type_symbol
_atom_site_fract_x
_atom_site_fract_y
_atom_site_fract_z
K1 K 0.0000 0.0000 0.0000
Pa1 Pa 0.0000 0.0000 0.5000
Tl1 Tl 0.2500 0.2500 0.2500
O1 O 0.0000 0.0000 0.2825
O2 O 0.0000 0.2500 0.5000